Entry 1:
# PBE Y3Al2Co, relaxed
# **Calculated formation energy**: -2.05 eV/f.u.
# **Uncorrected energy**: -36.04 eV/f.u.
# **Density**: 4.486 g/cm3
data_Y3Al2Co
_chemical_formula_sum 'Y12 Al8 Co4'
_space_group_name_H-M_alt 'P 1'
_space_group_IT_number 1
_space_group_name_Hall 'P 1'
_cell_length_a 11.9217
_cell_length_b 4.4279
_cell_length_c 10.6470
_cell_angle_alpha 90.00
_cell_angle_beta 90.00
_cell_angle_gamma 90.00
loop_
_atom_site_label
_atom_site_fract_x
_atom_site_fract_y
_atom_site_fract_z
Y1 0.0531 0.2500 0.1193
Y2 0.1155 0.7500 0.5646
Y3 0.2309 0.2500 0.7992
Y4 0.2691 0.7500 0.2992
Y5 0.3845 0.2500 0.0646
Y6 0.4469 0.7500 0.6193
Y7 0.5531 0.2500 0.3807
Y8 0.6155 0.7500 0.9354
Y9 0.7309 0.2500 0.7008
Y10 0.7691 0.7500 0.2008
Y11 0.8845 0.2500 0.4354
Y12 0.9469 0.7500 0.8807
Al1 0.0195 0.7500 0.3059
Al2 0.2053 0.7500 0.9974
Al3 0.2947 0.2500 0.4974
Al4 0.4805 0.2500 0.8059
Al5 0.5195 0.7500 0.1941
Al6 0.7053 0.7500 0.5026
Al7 0.7947 0.2500 0.0026
Al8 0.9805 0.2500 0.6941
Co1 0.1152 0.2500 0.3726
Co2 0.3848 0.7500 0.8726
Co3 0.6152 0.2500 0.1274
Co4 0.8848 0.7500 0.6274

Entry 2:
# PBE Y2AlCo2, relaxed
# **Calculated formation energy**: -1.92 eV/f.u.
# **Uncorrected energy**: -32.80 eV/f.u.
# **Density**: 5.728 g/cm3
data_Y2AlCo2
_chemical_formula_sum 'Y4 Al2 Co4'
_space_group_name_H-M_alt 'P 1'
_space_group_IT_number 1
_space_group_name_Hall 'P 1'
_cell_length_a 5.4414
_cell_length_b 5.4414
_cell_length_c 7.5364
_cell_angle_alpha 102.01
_cell_angle_beta 102.01
_cell_angle_gamma 59.73
loop_
_atom_site_label
_atom_site_fract_x
_atom_site_fract_y
_atom_site_fract_z
Y1 0.9997 0.2928 0.1460
Y2 0.0003 0.7072 0.8540
Y3 0.2928 0.9997 0.6460
Y4 0.7072 0.0003 0.3540
Al1 0.3767 0.6233 0.2500
Al2 0.6233 0.3767 0.7500
Co1 0.2107 0.5039 0.4949
Co2 0.4961 0.7893 0.0051
Co3 0.5039 0.2107 0.9949
Co4 0.7893 0.4961 0.5051

Entry 3:
# PBE Y3AlCo, relaxed
# **Calculated formation energy**: -1.17 eV/f.u.
# **Energy above the lowest structure with this stoichiometry**: 0 meV/atom
# **Uncorrected energy**: -31.41 eV/f.u.
# **Density**: 4.775 g/cm3
data_Y3AlCo
_chemical_formula_sum 'Y6 Al2 Co2'
_space_group_name_H-M_alt 'P 1'
_space_group_IT_number 1
_space_group_name_Hall 'P 1'
_cell_length_a 5.9163
_cell_length_b 5.9163
_cell_length_c 8.6250
_cell_angle_alpha 111.67
_cell_angle_beta 111.67
_cell_angle_gamma 64.57
loop_
_atom_site_label
_atom_site_fract_x
_atom_site_fract_y
_atom_site_fract_z
Y1 0.0189 0.0189 0.2251
Y2 0.2995 0.2995 0.6715
Y3 0.3137 0.3137 0.1339
Y4 0.6863 0.6863 0.8661
Y5 0.7005 0.7005 0.3285
Y6 0.9811 0.9811 0.7749
Al1 0.2927 0.7073 0.5000
Al2 0.7073 0.2927 0.5000
Co1 0.3151 0.6849 0.0000
Co2 0.6849 0.3151 0.0000

Entry 4:
# PBE Y2Al2Co, relaxed
# **Calculated formation energy**: 3.28 eV/f.u.
# **Energy above the lowest structure with this stoichiometry**: 865 meV/atom
# **Uncorrected energy**: -24.24 eV/f.u.
# **Density**: 4.003 g/cm3
data_Y2Al2Co
_chemical_formula_sum 'Y2 Al2 Co1'
_space_group_name_H-M_alt 'P 1'
_space_group_IT_number 1
_space_group_name_Hall 'P 1'
_cell_length_a 7.2672
_cell_length_b 7.2672
_cell_length_c 7.2672
_cell_angle_alpha 145.82
_cell_angle_beta 145.82
_cell_angle_gamma 49.11
loop_
_atom_site_label
_atom_site_fract_x
_atom_site_fract_y
_atom_site_fract_z
Y1 0.2500 0.7500 0.5000
Y2 0.7500 0.2500 0.5000
Al1 0.0905 0.0905 0.0000
Al2 0.9095 0.9095 0.0000
Co1 0.5000 0.5000 0.0000

Entry 5:
# PBE Y6AlCo2, relaxed
# **Calculated formation energy**: -2.21 eV/f.u.
# **Uncorrected energy**: -58.95 eV/f.u.
# **Density**: 5.064 g/cm3
data_Y6AlCo2
_chemical_formula_sum 'Y12 Al2 Co4'
_space_group_name_H-M_alt 'P 1'
_space_group_IT_number 1
_space_group_name_Hall 'P 1'
_cell_length_a 8.3353
_cell_length_b 8.3353
_cell_length_c 8.3353
_cell_angle_alpha 111.97
_cell_angle_beta 109.78
_cell_angle_gamma 106.71
loop_
_atom_site_label
_atom_site_fract_x
_atom_site_fract_y
_atom_site_fract_z
Y1 0.0409 0.2385 0.8024
Y2 0.1816 0.2820 0.4636
Y3 0.1816 0.7180 0.8996
Y4 0.3253 0.0131 0.6879
Y5 0.3253 0.6374 0.3121
Y6 0.4361 0.2385 0.1976
Y7 0.5639 0.7615 0.8024
Y8 0.6747 0.3626 0.6879
Y9 0.6747 0.9869 0.3121
Y10 0.8184 0.2820 0.1004
Y11 0.8184 0.7180 0.5364
Y12 0.9591 0.7615 0.1976
Al1 0.0000 0.0000 0.0000
Al2 0.5000 0.5000 0.0000
Co1 0.1137 0.6137 0.5000
Co2 0.3295 0.0000 0.3295
Co3 0.6705 0.0000 0.6705
Co4 0.8863 0.3863 0.5000

Entry 6:
# PBE Y2Al3Co, relaxed
# **Calculated formation energy**: -2.76 eV/f.u.
# **Uncorrected energy**: -34.02 eV/f.u.
# **Density**: 4.668 g/cm3
data_Y2Al3Co
_chemical_formula_sum 'Y2 Al3 Co1'
_space_group_name_H-M_alt 'P 1'
_space_group_IT_number 1
_space_group_name_Hall 'P 1'
_cell_length_a 5.3780
_cell_length_b 5.3780
_cell_length_c 5.3780
_cell_angle_alpha 61.24
_cell_angle_beta 61.24
_cell_angle_gamma 61.24
loop_
_atom_site_label
_atom_site_fract_x
_atom_site_fract_y
_atom_site_fract_z
Y1 0.1263 0.1263 0.1263
Y2 0.8737 0.8737 0.8737
Al1 0.0000 0.5000 0.5000
Al2 0.5000 0.0000 0.5000
Al3 0.5000 0.5000 0.0000
Co1 0.5000 0.5000 0.5000

Entry 7:
# PBE YAlCo, relaxed
# **Calculated formation energy**: -1.11 eV/f.u.
# **Uncorrected energy**: -18.42 eV/f.u.
# **Density**: 5.503 g/cm3
data_YAlCo
_chemical_formula_sum 'Y4 Al4 Co4'
_space_group_name_H-M_alt 'P 1'
_space_group_IT_number 1
_space_group_name_Hall 'P 1'
_cell_length_a 8.4801
_cell_length_b 5.3427
_cell_length_c 5.3427
_cell_angle_alpha 60.66
_cell_angle_beta 90.00
_cell_angle_gamma 90.00
loop_
_atom_site_label
_atom_site_fract_x
_atom_site_fract_y
_atom_site_fract_z
Y1 0.1754 0.0000 0.0000
Y2 0.3005 0.3368 0.3368
Y3 0.6995 0.3368 0.3368
Y4 0.8246 0.0000 0.0000
Al1 0.2259 0.6739 0.6739
Al2 0.5000 0.3336 0.8361
Al3 0.5000 0.8361 0.3336
Al4 0.7741 0.6739 0.6739
Co1 0.0000 0.0322 0.4956
Co2 0.0000 0.4956 0.0322
Co3 0.0000 0.4958 0.4958
Co4 0.5000 0.8368 0.8368

Entry 8:
# PBE Y2Al2Co, relaxed
# **Calculated formation energy**: -1.04 eV/f.u.
# **Energy above the lowest structure with this stoichiometry**: 0 meV/atom
# **Uncorrected energy**: -28.56 eV/f.u.
# **Density**: 4.585 g/cm3
data_Y2Al2Co
_chemical_formula_sum 'Y4 Al4 Co2'
_space_group_name_H-M_alt 'P 1'
_space_group_IT_number 1
_space_group_name_Hall 'P 1'
_cell_length_a 6.7898
_cell_length_b 6.7898
_cell_length_c 4.5670
_cell_angle_alpha 90.00
_cell_angle_beta 90.00
_cell_angle_gamma 90.00
loop_
_atom_site_label
_atom_site_fract_x
_atom_site_fract_y
_atom_site_fract_z
Y1 0.1716 0.3284 0.0000
Y2 0.3284 0.8284 0.0000
Y3 0.6716 0.1716 0.0000
Y4 0.8284 0.6716 0.0000
Al1 0.1395 0.6395 0.5000
Al2 0.3605 0.1395 0.5000
Al3 0.6395 0.8605 0.5000
Al4 0.8605 0.3605 0.5000
Co1 0.0000 0.0000 0.5000
Co2 0.5000 0.5000 0.5000

Entry 9:
# PBE YAl2Co9, relaxed
# **Calculated formation energy**: -2.92 eV/f.u.
# **Uncorrected energy**: -80.83 eV/f.u.
# **Density**: 7.344 g/cm3
data_YAl2Co9
_chemical_formula_sum 'Y2 Al4 Co18'
_space_group_name_H-M_alt 'P 1'
_space_group_IT_number 1
_space_group_name_Hall 'P 1'
_cell_length_a 8.0503
_cell_length_b 8.0503
_cell_length_c 4.6979
_cell_angle_alpha 90.00
_cell_angle_beta 90.00
_cell_angle_gamma 90.00
loop_
_atom_site_label
_atom_site_fract_x
_atom_site_fract_y
_atom_site_fract_z
Y1 0.0000 0.0000 0.0000
Y2 0.5000 0.5000 0.0000
Al1 0.1210 0.3790 0.0000
Al2 0.3790 0.8790 0.0000
Al3 0.6210 0.1210 0.0000
Al4 0.8790 0.6210 0.0000
Co1 0.0000 0.5000 0.5000
Co2 0.0679 0.2107 0.5000
Co3 0.1760 0.6760 0.2349
Co4 0.1760 0.6760 0.7651
Co5 0.2107 0.9321 0.5000
Co6 0.2893 0.4321 0.5000
Co7 0.3240 0.1760 0.2349
Co8 0.3240 0.1760 0.7651
Co9 0.4321 0.7107 0.5000
Co10 0.5000 0.0000 0.5000
Co11 0.5679 0.2893 0.5000
Co12 0.6760 0.8240 0.2349
Co13 0.6760 0.8240 0.7651
Co14 0.7107 0.5679 0.5000
Co15 0.7893 0.0679 0.5000
Co16 0.8240 0.3240 0.2349
Co17 0.8240 0.3240 0.7651
Co18 0.9321 0.7893 0.5000

Entry 10:
# PBE Y2Al3Co14, relaxed
# **Calculated formation energy**: -4.00 eV/f.u.
# **Uncorrected energy**: -127.64 eV/f.u.
# **Density**: 7.250 g/cm3
data_Y2Al3Co14
_chemical_formula_sum 'Y4 Al6 Co28'
_space_group_name_H-M_alt 'P 1'
_space_group_IT_number 1
_space_group_name_Hall 'P 1'
_cell_length_a 8.3736
_cell_length_b 8.3736
_cell_length_c 8.1758
_cell_angle_alpha 90.00
_cell_angle_beta 90.00
_cell_angle_gamma 120.00
loop_
_atom_site_label
_atom_site_fract_x
_atom_site_fract_y
_atom_site_fract_z
Y1 0.0000 0.0000 0.2500
Y2 0.0000 0.0000 0.7500
Y3 0.3333 0.6667 0.2500
Y4 0.6667 0.3333 0.7500
Al1 0.0000 0.5000 0.0000
Al2 0.0000 0.5000 0.5000
Al3 0.5000 0.0000 0.0000
Al4 0.5000 0.0000 0.5000
Al5 0.5000 0.5000 0.0000
Al6 0.5000 0.5000 0.5000
Co1 0.0463 0.3727 0.7500
Co2 0.0463 0.6735 0.7500
Co3 0.1628 0.3255 0.0150
Co4 0.1628 0.3255 0.4850
Co5 0.1628 0.8372 0.0150
Co6 0.1628 0.8372 0.4850
Co7 0.3255 0.1628 0.5150
Co8 0.3255 0.1628 0.9850
Co9 0.3265 0.3727 0.7500
Co10 0.3265 0.9537 0.7500
Co11 0.3333 0.6667 0.6100
Co12 0.3333 0.6667 0.8900
Co13 0.3727 0.0463 0.2500
Co14 0.3727 0.3265 0.2500
Co15 0.6273 0.6735 0.7500
Co16 0.6273 0.9537 0.7500
Co17 0.6667 0.3333 0.1100
Co18 0.6667 0.3333 0.3900
Co19 0.6735 0.0463 0.2500
Co20 0.6735 0.6273 0.2500
Co21 0.6745 0.8372 0.0150
Co22 0.6745 0.8372 0.4850
Co23 0.8372 0.1628 0.5150
Co24 0.8372 0.1628 0.9850
Co25 0.8372 0.6745 0.5150
Co26 0.8372 0.6745 0.9850
Co27 0.9537 0.3265 0.2500
Co28 0.9537 0.6273 0.2500

Entry 11:
# PBE Y2Al9Co3, relaxed
# **Calculated formation energy**: -7.94 eV/f.u.
# **Energy above the lowest structure with this stoichiometry**: 0 meV/atom
# **Uncorrected energy**: -75.87 eV/f.u.
# **Density**: 4.479 g/cm3
data_Y2Al9Co3
_chemical_formula_sum 'Y4 Al18 Co6'
_space_group_name_H-M_alt 'P 1'
_space_group_IT_number 1
_space_group_name_Hall 'P 1'
_cell_length_a 7.3792
_cell_length_b 7.3792
_cell_length_c 9.3257
_cell_angle_alpha 90.00
_cell_angle_beta 90.00
_cell_angle_gamma 60.73
loop_
_atom_site_label
_atom_site_fract_x
_atom_site_fract_y
_atom_site_fract_z
Y1 0.0066 0.6720 0.7500
Y2 0.3280 0.9934 0.7500
Y3 0.6720 0.0066 0.2500
Y4 0.9934 0.3280 0.2500
Al1 0.0018 0.3352 0.5710
Al2 0.0018 0.3352 0.9290
Al3 0.1249 0.8751 0.2500
Al4 0.3322 0.6678 0.5418
Al5 0.3322 0.6678 0.9582
Al6 0.3352 0.0018 0.0710
Al7 0.3352 0.0018 0.4290
Al8 0.3386 0.4465 0.2500
Al9 0.4465 0.3386 0.7500
Al10 0.5535 0.6614 0.2500
Al11 0.6614 0.5535 0.7500
Al12 0.6648 0.9982 0.5710
Al13 0.6648 0.9982 0.9290
Al14 0.6678 0.3322 0.0418
Al15 0.6678 0.3322 0.4582
Al16 0.8751 0.1249 0.7500
Al17 0.9982 0.6648 0.0710
Al18 0.9982 0.6648 0.4290
Co1 0.0000 0.0000 0.0000
Co2 0.0000 0.0000 0.5000
Co3 0.3291 0.3291 0.0000
Co4 0.3291 0.3291 0.5000
Co5 0.6709 0.6709 0.0000
Co6 0.6709 0.6709 0.5000

Entry 12:
# PBE YAlCo, relaxed
# **Calculated formation energy**: 2.08 eV/f.u.
# **Uncorrected energy**: -15.23 eV/f.u.
# **Density**: 4.181 g/cm3
data_YAlCo
_chemical_formula_sum 'Y1 Al1 Co1'
_space_group_name_H-M_alt 'P 1'
_space_group_IT_number 1
_space_group_name_Hall 'P 1'
_cell_length_a 4.6133
_cell_length_b 4.6133
_cell_length_c 4.6133
_cell_angle_alpha 60.00
_cell_angle_beta 60.00
_cell_angle_gamma 60.00
loop_
_atom_site_label
_atom_site_fract_x
_atom_site_fract_y
_atom_site_fract_z
Y1 0.0000 0.0000 0.0000
Al1 0.7500 0.7500 0.7500
Co1 0.2500 0.2500 0.2500